No. 1
Compound: NdBAs
Source: OQMD via LeMat-Bulk
Functional: GGA-PBE
Structure: optimized geometry

Results
Energy above the most stable polymorph in this dataset = 0 meV/atom
Total DFT energy (no corrections) = -5.249 eV per atom

Cell and atoms, written as CIF:
```
data_NdBAs
_space_group_name_H-M_alt 'F -4 3 m'
_space_group_IT_number 216
_space_group_name_Hall 'F -4 2 3'
_cell_length_a 6.231
_cell_length_b 6.231
_cell_length_c 6.231
_cell_angle_alpha 90.00
_cell_angle_beta 90.00
_cell_angle_gamma 90.00
loop_
_atom_site_label
_atom_site_type_symbol
_atom_site_fract_x
_atom_site_fract_y
_atom_site_fract_z
Nd1 Nd 0.000 0.000 0.000
B1 B 0.250 0.250 0.750
As1 As 0.000 0.000 0.500
```

***

No. 2
Compound: TlAg7
Source: OQMD via LeMat-Bulk
Functional: GGA-PBE
Structure: optimized geometry

Results
Total DFT energy (no corrections) = -2.706 eV per atom

Cell and atoms, written as CIF:
```
data_TlAg7
_space_group_name_H-M_alt 'P m m n'
_space_group_IT_number 59
_cell_length_a 2.900
_cell_length_b 3.940
_cell_length_c 33.729
_cell_angle_alpha 90.00
_cell_angle_beta 90.00
_cell_angle_gamma 90.00
loop_
_space_group_symop_operation_xyz
'x,y,z'
'-x,-y,-z'
'-x+1/2,-y+1/2,z'
'x+1/2,y+1/2,-z'
'x+1/2,-y,-z'
'-x+1/2,y,z'
'-x,y+1/2,-z'
'x,-y+1/2,z'
loop_
_atom_site_label
_atom_site_type_symbol
_atom_site_fract_x
_atom_site_fract_y
_atom_site_fract_z
Tl1 Tl 0.250 0.250 0.142
Ag1 Ag 0.250 0.250 0.250
Ag2 Ag 0.250 0.250 0.342
Ag3 Ag 0.250 0.250 0.433
Ag4 Ag 0.250 0.250 0.522
Ag5 Ag 0.250 0.250 0.613
Ag6 Ag 0.250 0.250 0.704
Ag7 Ag 0.250 0.250 0.796
```

***

No. 3
Compound: Pm4PtBr5
Source: OQMD via LeMat-Bulk
Functional: GGA-PBE
Structure: optimized geometry

Results
Total DFT energy (no corrections) = -4.876 eV per atom

Cell and atoms, written as CIF:
```
data_Pm4PtBr5
_space_group_name_H-M_alt 'C 1 2/m 1'
_space_group_IT_number 12
_cell_length_a 18.899
_cell_length_b 4.099
_cell_length_c 8.728
_cell_angle_alpha 90.00
_cell_angle_beta 103.61
_cell_angle_gamma 90.00
loop_
_space_group_symop_operation_xyz
'x,y,z'
'-x,-y,-z'
'-x,y,-z'
'x,-y,z'
'x+1/2,y+1/2,z'
'-x+1/2,-y+1/2,-z'
'-x+1/2,y+1/2,-z'
'x+1/2,-y+1/2,z'
loop_
_atom_site_label
_atom_site_type_symbol
_atom_site_fract_x
_atom_site_fract_y
_atom_site_fract_z
Pm1 Pm 0.001 0.000 0.223
Pm2 Pm 0.154 0.500 0.086
Pt1 Pt 0.000 0.500 0.000
Br1 Br 0.000 0.500 0.500
Br2 Br 0.169 0.000 0.340
Br3 Br 0.173 0.000 0.840
```

***

No. 4
Compound: TbAs
Source: OQMD via LeMat-Bulk
Functional: GGA-PBE
Structure: optimized geometry

Results
Total DFT energy (no corrections) = -5.700 eV per atom

Cell and atoms, written as CIF:
```
data_TbAs
_space_group_name_H-M_alt 'P m -3 m'
_space_group_IT_number 221
_space_group_name_Hall '-P 4 2 3'
_cell_length_a 3.584
_cell_length_b 3.584
_cell_length_c 3.584
_cell_angle_alpha 90.00
_cell_angle_beta 90.00
_cell_angle_gamma 90.00
loop_
_atom_site_label
_atom_site_type_symbol
_atom_site_fract_x
_atom_site_fract_y
_atom_site_fract_z
Tb1 Tb 0.000 0.000 0.000
As1 As 0.500 0.500 0.500
```